The following is a PBE calculation of a relaxed TlSeN2 crystal, from Alexandria via LeMat-Bulk.

a = 6.560 Å, b = 6.560 Å, c = 6.560 Å
α = 31.50°, β = 31.50°, γ = 31.50°
Element x y z (fractional)
Tl 0.500 0.500 0.500
N 0.900 0.900 0.900
N 0.100 0.100 0.100
Se 0.000 0.000 0.000

**Space group**: R-3m, No. 166
**N(E_F)**: 0.58 states/eV/atom
**Energy relative to the elements, uncorrected**: 1191 meV per atom
**Excess energy over the best structure of this formula in the dataset**: 0 meV/atom
**Total magnetization**: 0.0 μB per cell